No. 1
K2SnF5 GGA-PBE relaxed; E_form (uncorrected) = -2.502 eV/atom; N(E_F) = 1.24 states/eV/cell
1.0
-0.7176 4.7082 -4.3317
0.2710 -4.3324 -4.7543
-3.5894 -0.6129 4.7149
F Sn K
5 1 2
Cartesian
-2.1653 -0.0285 -4.4556 F
-0.5074 2.6326 -4.4277 F
-0.3601 0.2879 -7.0012 F
0.0276 -2.2605 -4.6564 F
-0.1198 0.0843 -2.0833 F
-0.0986 -0.0110 0.0043 Sn
-1.7733 -2.3793 -2.2911 K
-2.2677 2.1417 -2.0798 K



No. 2
K2SnF6 GGA-PBE relaxed; E_form (uncorrected) = -2.753 eV/atom; N(E_F) = 0.00 states/eV/cell
1.0
6.3083 0.0218 0.0000
-2.6386 6.7165 0.0000
0.0000 0.0000 7.8344
F K Sn
12 4 2
Cartesian
0.3830 3.0939 6.7838 F
4.5224 1.4468 7.5788 F
1.5627 6.2353 2.2835 F
2.1071 0.5029 5.5509 F
3.2867 3.6443 1.0506 F
3.6208 1.9441 3.6615 F
1.4518 0.2752 2.8666 F
2.2179 6.4630 4.9678 F
3.9419 3.8721 6.2007 F
-0.8527 5.2915 0.2557 F
0.0489 4.7941 4.1729 F
-0.2722 2.8662 1.6337 F
0.0168 2.0965 4.2871 K
3.6529 4.6418 3.5473 K
1.8517 5.4656 7.4645 K
1.8180 1.2727 0.3699 K
3.1542 0.0109 3.9172 Sn
-1.3193 3.3582 0.0000 Sn



No. 3
KSn2F8 GGA-PBE relaxed; E_form (uncorrected) = -2.435 eV/atom; energy relative to the lowest polymorph listed for this composition = 17.1 meV per atom; N(E_F) = 1.75 states/eV/cell
1.0
-0.5049 5.2054 -0.3497
-4.1064 -1.0159 -4.1971
-5.3958 -0.6957 2.4314
F K Sn
8 1 2
Cartesian
-2.7912 4.2112 -0.7464 F
-7.2159 -0.7173 -1.3690 F
-6.7311 1.0588 0.7929 F
-4.5643 0.5924 -0.9165 F
-5.4428 2.9015 -1.1989 F
-5.9257 0.8588 -3.3475 F
-3.2760 2.4350 -2.9082 F
-4.0814 2.6350 1.2321 F
0.0000 0.0000 0.0000 K
-3.3141 2.2991 -0.7557 Sn
-6.6930 1.1947 -1.3596 Sn



No. 4
KSn2F11 GGA-PBE relaxed; E_form (uncorrected) = -2.052 eV/atom; N(E_F) = 26.82 states/eV/cell
1.0
7.1096 0.0000 3.7057
3.0601 7.9990 2.8019
-0.1727 0.3101 9.0041
Sn F K
4 22 2
Cartesian
6.5727 5.5856 7.1085 Sn
3.4242 2.7235 8.4032 Sn
6.5660 1.7411 11.0486 Sn
3.4310 6.5680 4.4632 Sn
2.7074 2.7666 10.2645 F
7.2896 5.5425 5.2473 F
4.8221 6.7237 12.2398 F
0.5716 1.6980 5.6892 F
0.9474 0.3576 2.3279 F
3.7297 0.7546 8.3031 F
7.4494 3.7970 7.1993 F
3.5349 2.5692 6.4184 F
2.5476 4.5121 8.3125 F
9.4254 6.6111 9.8225 F
5.1631 2.4837 9.5556 F
5.1749 1.5854 3.2719 F
8.6000 6.3282 7.4034 F
4.8339 5.8254 5.9561 F
0.0000 0.0000 0.0000 F
4.9985 4.1546 7.7559 F
6.6588 3.7100 11.3564 F
6.2672 7.5545 7.2087 F
1.3969 1.9809 8.1083 F
3.3382 4.5991 4.1554 F
9.0496 7.9516 13.1838 F
6.4621 5.7399 9.0934 F
2.4992 2.0773 3.8779 K
7.4977 6.2318 11.6338 K



No. 5
K2SnF2 GGA-PBE relaxed; E_form (uncorrected) = -1.544 eV/atom; energy relative to the lowest polymorph listed for this composition = 9.8 meV per atom; N(E_F) = 4.52 states/eV/cell
1.0
8.7659 0.0000 0.0000
0.0000 8.7659 0.0000
0.0000 0.0000 3.1372
F Sn K
4 2 4
Cartesian
1.0861 5.4690 1.5686 F
3.2969 1.0861 1.5686 F
5.4690 7.6798 1.5686 F
7.6798 3.2969 1.5686 F
0.0000 0.0000 0.0000 Sn
4.3830 4.3830 0.0000 Sn
7.6841 5.4647 0.0000 K
5.4647 1.0818 0.0000 K
1.0818 3.3012 0.0000 K
3.3012 7.6841 0.0000 K



No. 6
K12Sn3F5 GGA-PBE relaxed; E_form (uncorrected) = -1.281 eV/atom; N(E_F) = 32.17 states/eV/cell
1.0
15.5343 0.0000 0.0000
-5.1781 14.6459 0.0000
-5.1781 -7.3230 12.6837
F Sn K
20 12 48
Cartesian
6.4726 -4.5769 11.0983 F
-1.2945 11.8998 1.5855 F
6.4726 6.4076 4.7564 F
5.1781 -3.6615 6.3419 F
1.2945 -3.6615 9.5128 F
-1.2945 3.6615 3.1709 F
1.2945 4.5769 11.0983 F
3.8836 10.9844 3.1709 F
5.1781 7.3230 0.0000 F
-5.1781 3.6615 6.3419 F
-1.2945 0.9154 7.9273 F
9.0617 -0.9154 7.9273 F
0.0000 0.0000 0.0000 F
-3.8836 8.2383 4.7564 F
6.4726 3.6615 9.5128 F
2.5891 3.6615 6.3419 F
-2.5891 7.3230 0.0000 F
-2.5891 -3.6615 6.3419 F
7.7672 0.0000 0.0000 F
3.8836 2.7461 1.5855 F
-1.2945 6.4076 7.9273 Sn
1.2945 -0.9154 4.7564 Sn
-3.8836 2.7461 11.0983 Sn
3.8836 0.0000 9.5128 Sn
11.6508 0.0000 3.1709 Sn
1.2945 7.3230 3.1709 Sn
3.8836 8.2383 7.9273 Sn
-3.8836 -2.7461 11.0983 Sn
9.0617 4.5769 1.5855 Sn
6.4726 0.9154 4.7564 Sn
-6.4726 7.3230 9.5128 Sn
9.0617 10.0691 1.5855 Sn
5.8394 6.0575 10.2251 K
10.5617 -3.0049 7.7458 K
7.9727 13.1018 0.1334 K
1.1756 1.4315 7.3965 K
4.9726 2.7739 7.6124 K
9.6950 0.8996 6.2085 K
8.9427 -5.2946 11.2798 K
-2.7946 -5.7789 12.5504 K
4.0026 5.8915 5.2872 K
3.5468 9.2744 1.2705 K
2.7946 -2.7739 7.6124 K
-2.7946 3.0049 7.7458 K
-4.9726 5.7789 12.5504 K
1.9278 5.1579 8.6671 K
-3.2503 8.5884 10.2251 K
0.2055 4.5490 5.0713 K
-1.6313 0.1246 10.3585 K
6.1359 -2.0760 11.6291 K
-5.3836 10.3279 4.9380 K
6.3537 11.1861 3.8833 K
11.7697 3.4598 3.8833 K
7.1059 8.2225 6.4753 K
3.5468 5.2470 1.0547 K
1.6313 2.0760 11.6291 K
11.3140 7.4476 2.3252 K
6.3537 2.0284 1.4039 K
-3.7646 12.6175 1.4039 K
3.2503 2.1650 4.0166 K
1.6313 -1.9514 11.4132 K
-1.1755 -3.8631 8.8005 K
-6.5916 3.8631 8.8005 K
0.6613 9.4880 8.6671 K
6.8094 7.1983 2.3252 K
-4.5168 6.4234 6.4753 K
4.5169 -2.1650 4.0166 K
-1.4135 8.7544 5.2872 K
10.1507 1.5441 0.1334 K
-6.1359 -0.1246 10.3585 K
-1.9278 -0.8995 6.2085 K
6.1359 1.9514 11.4132 K
8.4284 -1.2655 2.4586 K
-0.6613 1.2655 2.4586 K
2.3835 10.0969 5.0713 K
6.5916 -1.4315 7.3965 K
7.9727 4.3180 4.9380 K
-0.9577 5.3716 1.2705 K
-1.1756 5.2946 11.2798 K
-0.9577 9.3990 1.0547 K